# 1
VASP calculation (PBE) on an optimized crystal structure of BHPt2.

It has space group I-42d (No. 122), with a = 4.7184 Å, b = 4.7184 Å, c = 8.5282 Å, α = 90.00°, β = 90.00° and γ = 90.00°. The distinct sites, in fractional coordinates, are B at (0.0000, 0.0000, 0.0000), H at (0.0000, 0.0000, 0.5000) and Pt at (0.2232, 0.2500, 0.6250).

# 2
VASP calculation (PBE) on an optimized crystal structure of TlSeBr4.

It has space group C2/c (No. 15), with a = 9.2232 Å, b = 14.8573 Å, c = 7.9342 Å, α = 90.00°, β = 123.80° and γ = 90.00°. The distinct sites, in fractional coordinates, are Tl at (0.0000, 0.1686, 0.2500), Se at (0.0000, 0.3270, 0.7500), Br at (0.1909, 0.4470, 0.7541) and Br at (0.1970, 0.1982, 0.7410).

The formation energy (no corrections) is -0.319 eV/atom.

# 3
VASP calculation (PBE) on an optimized crystal structure of PrYEr2S6.

It has space group R3 (No. 146, hexagonal axes), with a = 6.9695 Å, b = 6.9695 Å, c = 18.5017 Å, α = 90.00°, β = 90.00° and γ = 120.00°. The distinct sites, in fractional coordinates, are Pr at (0.0000, 0.0000, 0.0000), Y at (0.0000, 0.0000, 0.4929), Er at (0.0000, 0.0000, 0.2908), Er at (0.0000, 0.0000, 0.7948), S at (0.0085, 0.3082, 0.8899) and S at (0.0264, 0.6393, 0.0571).

The formation energy (no corrections) is -2.046 eV/atom.

| no. | total magnetic moment (μB per formula unit) | total DFT energy (no corrections) (eV per atom) |
| --- | --- | --- |
| 1 | 0.000 | -5.492 |
| 2 | 0.000 | -2.409 |
| 3 | 0.000 | -6.560 |